# 1
Here is crystalline CoSe2Br at its relaxed geometry from Alexandria. Energies are from PBE-GGA.

```
CoSe2Br
1.0
3.708 0.000 0.000
0.000 3.707 0.000
0.000 0.000 7.300
Br Co Se
1 1 2
direct
0.500 0.000 0.500
0.000 0.500 0.500
0.000 0.000 0.000
0.500 0.500 0.000
```

## Properties
Energy relative to the elements, uncorrected, eV per atom: 0.4088
Crystal system: tetragonal
Magnetization, μB per formula unit: 2.27
E above lowest polymorph, meV/atom: 615
ρ, g/cm3: 4.9

# 2
Here is crystalline Zr5Cu4 at its relaxed geometry from Alexandria. Energies are from PBE-GGA.

```
Zr5Cu4
1.0
6.753 -0.479 -1.463
-5.103 2.638 3.870
-0.273 -6.223 3.030
Zr Cu
5 4
direct
0.000 0.000 0.000
0.672 0.328 0.000
0.672 0.672 0.343
0.328 0.328 0.657
0.328 0.672 0.000
0.000 0.354 0.354
0.000 0.646 0.646
0.646 0.000 0.646
0.354 0.000 0.354
```

## Properties
Crystal system: tetragonal
Magnetization, μB per formula unit: 0.00
E above lowest polymorph, meV/atom: 135
DFT formation energy, eV/atom: 0.11
ρ, g/cm3: 7.3

# 3
Here is crystalline Pr2In9Hg at its relaxed geometry from Alexandria. Energies are from PBE-GGA.

```
Pr2In9Hg
1.0
-0.954 1.558 4.315
-3.481 -3.117 0.356
9.333 -9.784 5.596
Pr In Hg
2 9 1
direct
0.000 0.000 0.338
0.000 0.000 0.662
0.500 0.500 0.000
0.500 0.500 0.339
0.500 0.500 0.661
0.500 0.000 0.167
0.500 0.000 0.500
0.500 0.000 0.833
0.000 0.500 0.167
0.000 0.500 0.500
0.000 0.500 0.833
0.000 0.000 0.000
```

## Properties
Crystal system: tetragonal
Magnetization, μB per formula unit: 0.00
DFT formation energy, eV/atom: -0.27
ρ, g/cm3: 7.8

# 4
Here is crystalline LiAc2Mg4Ga3 at its relaxed geometry from Alexandria. Energies are from PBE-GGA.

```
LiAc2Mg4Ga3
1.0
4.669 0.000 0.000
0.000 4.669 0.000
0.000 0.000 11.387
Li Ac Mg Ga
1 2 4 3
direct
0.500 0.500 0.500
0.500 0.000 0.247
0.000 0.500 0.753
0.500 0.500 0.000
0.000 0.000 0.000
0.500 0.000 0.623
0.000 0.500 0.377
0.000 0.000 0.500
0.500 0.000 0.859
0.000 0.500 0.141
```

## Properties
Crystal system: tetragonal
Magnetization, μB per formula unit: 0.33
DFT formation energy, eV/atom: -0.30
ρ, g/cm3: 5.1

# 5
Here is crystalline Zr2Ti2In3 at its relaxed geometry from Alexandria. Energies are from PBE-GGA.

```
Zr2Ti2In3
1.0
-2.900 -3.506 -0.733
0.606 0.120 -2.974
6.339 -8.470 0.949
Zr Ti In
2 2 3
direct
0.574 0.500 0.852
0.426 0.500 0.148
0.714 0.500 0.572
0.286 0.500 0.428
0.844 0.000 0.312
0.000 0.000 0.000
0.156 0.000 0.688
```

## Properties
Crystal system: orthorhombic
Magnetization, μB per formula unit: 2.00
DFT formation energy, eV/atom: -0.17
ρ, g/cm3: 7.1

# 6
Here is crystalline Sc3AuN at its relaxed geometry from Alexandria. Energies are from PBE-GGA.

```
Sc3AuN
1.0
-2.960 22.193 4.587
-1.731 0.886 -5.407
-1.437 -8.708 -0.968
Sc Au N
12 4 4
direct
0.293 0.923 0.941
0.707 0.077 0.059
0.207 0.423 0.559
0.793 0.577 0.441
0.360 0.420 0.270
0.640 0.580 0.730
0.140 0.920 0.230
0.860 0.080 0.770
0.405 0.881 0.570
0.595 0.119 0.430
0.095 0.381 0.930
0.905 0.619 0.070
0.010 0.180 0.422
0.990 0.820 0.578
0.490 0.680 0.078
0.510 0.320 0.922
0.525 0.752 0.654
0.475 0.248 0.346
0.975 0.252 0.846
0.025 0.748 0.154
```

## Properties
Energy relative to the elements, uncorrected, eV per atom: -1.0255
Crystal system: monoclinic
Magnetization, μB per formula unit: 0.00
ρ, g/cm3: 6.5